1.
A plane-wave DFT calculation with PBE was carried out for a geometry-optimized GeSeI2O structure.

## Properties
Raw formation energy = 0.224 eV/atom
Size of the total moment = 0.0000 μB per atom
Density of states at the Fermi level = 0.72 states/eV/atom
E = -15.0 eV per cell
Relative energy among the computed polymorphs = 149 meV/atom

Lattice parameters (Å, degrees): 5.8723 5.8723 3.8391 90.00 90.00 90.00
Space group P4/mmm (No. 123)
Unique sites:
Ge  0.0000  0.0000  0.0000 x1
Se  0.5000  0.5000  0.5000 x1
I  0.0000  0.5000  0.5000 x2
O  0.5000  0.5000  0.0000 x1



2.
A plane-wave DFT calculation with PBE was carried out for a geometry-optimized GeSeI2O structure.

## Properties
Raw formation energy = 0.075 eV/atom
Size of the total moment = 0.0744 μB per atom
Density of states at the Fermi level = 0.87 states/eV/atom
E = -15.8 eV per cell
Relative energy among the computed polymorphs = 0 meV/atom

Lattice parameters (Å, degrees): 5.8499 5.8499 3.6974 90.00 90.00 90.00
Space group P4/mmm (No. 123)
Unique sites:
Ge  0.0000  0.0000  0.0000 x1
Se  0.5000  0.5000  0.5000 x1
I  0.0000  0.5000  0.0000 x2
O  0.0000  0.0000  0.5000 x1



3.
A plane-wave DFT calculation with PBE was carried out for a geometry-optimized SiGeIO2 structure.

## Properties
Raw formation energy = 0.006 eV/atom
Size of the total moment = 0.1571 μB per atom
Density of states at the Fermi level = 0.44 states/eV/atom
E = -21.5 eV per cell
Relative energy among the computed polymorphs = 300 meV/atom

Lattice parameters (Å, degrees): 3.8289 3.8289 6.9108 90.00 90.00 90.00
Space group P4/mmm (No. 123)
Unique sites:
Si  0.0000  0.0000  0.0000 x1
Ge  0.5000  0.5000  0.5000 x1
I  0.5000  0.5000  0.0000 x1
O  0.0000  0.5000  0.5000 x2



4.
A plane-wave DFT calculation with PBE was carried out for a geometry-optimized SiGeIO2 structure.

## Properties
Raw formation energy = -0.294 eV/atom
Size of the total moment = 0.0000 μB per atom
Density of states at the Fermi level = 0.35 states/eV/atom
E = -23.0 eV per cell
Relative energy among the computed polymorphs = 0 meV/atom

Lattice parameters (Å, degrees): 3.8427 3.8427 5.4711 90.00 90.00 90.00
Space group P4/mmm (No. 123)
Unique sites:
Si  0.0000  0.0000  0.0000 x1
Ge  0.5000  0.5000  0.5000 x1
I  0.0000  0.0000  0.5000 x1
O  0.0000  0.5000  0.0000 x2



5.
A plane-wave DFT calculation with PBE was carried out for a geometry-optimized SrGeIO2 structure.

## Properties
Raw formation energy = -0.312 eV/atom
Size of the total moment = 0.2040 μB per atom
Density of states at the Fermi level = 0.68 states/eV/atom
E = -19.3 eV per cell
Relative energy among the computed polymorphs = 582 meV/atom

Lattice parameters (Å, degrees): 4.6032 4.6032 6.5010 90.00 90.00 90.00
Space group P4/mmm (No. 123)
Unique sites:
Sr  0.0000  0.0000  0.0000 x1
Ge  0.5000  0.5000  0.5000 x1
I  0.0000  0.0000  0.5000 x1
O  0.0000  0.5000  0.0000 x2



6.
A plane-wave DFT calculation with PBE was carried out for a geometry-optimized SrGeIO6 structure.

## Properties
Raw formation energy = -1.375 eV/atom
Size of the total moment = 0.0568 μB per atom
Density of states at the Fermi level = 0.41 states/eV/atom
E = -99.9 eV per cell

Lattice parameters (Å, degrees): 5.2475 5.2475 10.9377 90.00 90.00 120.00
Space group P-31c (No. 163)
Unique sites:
Sr  0.0000  0.0000  0.0000 x2
Ge  0.3333  0.6667  0.2500 x2
I  0.3333  0.6667  0.7500 x2
O  0.0130  0.3887  0.1483 x12



7.
A plane-wave DFT calculation with PBE was carried out for a geometry-optimized SrGeIO2 structure.

## Properties
Raw formation energy = -0.894 eV/atom
Size of the total moment = 0.0000 μB per atom
Density of states at the Fermi level = 0.16 states/eV/atom
E = -22.2 eV per cell
Relative energy among the computed polymorphs = 0 meV/atom

Lattice parameters (Å, degrees): 4.3209 4.3209 5.4493 90.00 90.00 90.00
Space group P4/mmm (No. 123)
Unique sites:
Sr  0.0000  0.0000  0.0000 x1
Ge  0.5000  0.5000  0.5000 x1
I  0.5000  0.5000  0.0000 x1
O  0.0000  0.5000  0.5000 x2



8.
A plane-wave DFT calculation with PBE was carried out for a geometry-optimized SrGeI2O structure.

## Properties
Raw formation energy = -0.890 eV/atom
Size of the total moment = 0.0000 μB per atom
Density of states at the Fermi level = 0.28 states/eV/atom
E = -18.8 eV per cell
Relative energy among the computed polymorphs = 0 meV/atom

Lattice parameters (Å, degrees): 6.1003 6.1003 3.9723 90.00 90.00 90.00
Space group P4/mmm (No. 123)
Unique sites:
Sr  0.0000  0.0000  0.0000 x1
Ge  0.5000  0.5000  0.5000 x1
I  0.0000  0.5000  0.5000 x2
O  0.5000  0.5000  0.0000 x1



9.
A plane-wave DFT calculation with PBE was carried out for a geometry-optimized SrGeI2O structure.

## Properties
Raw formation energy = -0.417 eV/atom
Size of the total moment = 0.0429 μB per atom
Density of states at the Fermi level = 0.65 states/eV/atom
E = -16.4 eV per cell
Relative energy among the computed polymorphs = 474 meV/atom

Lattice parameters (Å, degrees): 6.3735 6.3735 4.2973 90.00 90.00 90.00
Space group P4/mmm (No. 123)
Unique sites:
Sr  0.0000  0.0000  0.0000 x1
Ge  0.5000  0.5000  0.5000 x1
I  0.0000  0.5000  0.0000 x2
O  0.0000  0.0000  0.5000 x1



10.
A plane-wave DFT calculation with PBE was carried out for a geometry-optimized TaGeIO2 structure.

## Properties
Raw formation energy = -0.927 eV/atom
Size of the total moment = 0.2768 μB per atom
Density of states at the Fermi level = 0.43 states/eV/atom
E = -32.6 eV per cell
Relative energy among the computed polymorphs = 0 meV/atom

Lattice parameters (Å, degrees): 4.0065 4.0065 6.2054 90.00 90.00 90.00
Space group P4/mmm (No. 123)
Unique sites:
Ta  0.0000  0.0000  0.0000 x1
Ge  0.5000  0.5000  0.5000 x1
I  0.0000  0.0000  0.5000 x1
O  0.0000  0.5000  0.0000 x2



11.
A plane-wave DFT calculation with PBE was carried out for a geometry-optimized TaGeIO2 structure.

## Properties
Raw formation energy = 0.440 eV/atom
Size of the total moment = 0.5810 μB per atom
Density of states at the Fermi level = 0.51 states/eV/atom
E = -25.7 eV per cell
Relative energy among the computed polymorphs = 1367 meV/atom

Lattice parameters (Å, degrees): 3.9273 3.9273 5.8716 90.00 90.00 90.00
Space group P4/mmm (No. 123)
Unique sites:
Ta  0.0000  0.0000  0.0000 x1
Ge  0.5000  0.5000  0.5000 x1
I  0.5000  0.5000  0.0000 x1
O  0.0000  0.5000  0.5000 x2



12.
A plane-wave DFT calculation with PBE was carried out for a geometry-optimized TcGeIO2 structure.

## Properties
Raw formation energy = -0.240 eV/atom
Size of the total moment = 0.1574 μB per atom
Density of states at the Fermi level = 0.52 states/eV/atom
E = -27.7 eV per cell
Relative energy among the computed polymorphs = 0 meV/atom

Lattice parameters (Å, degrees): 3.9129 3.9129 6.1349 90.00 90.00 90.00
Space group P4/mmm (No. 123)
Unique sites:
Tc  0.0000  0.0000  0.0000 x1
Ge  0.5000  0.5000  0.5000 x1
I  0.0000  0.0000  0.5000 x1
O  0.0000  0.5000  0.0000 x2